PBE MnH2Ru, optimized geometry; ρ = 8.113 g/cm³; relative energy among the computed polymorphs = 0.072 eV per atom; DOS at the Fermi energy = 3.49 states/eV/f.u.; total magnetization = 7.7 Bohr magnetons per cell; SG = R-3m
1.0
2.8207 0.0000 0.0000
-1.4104 2.4428 0.0000
0.0000 0.0000 14.0816
Mn H Ru
3 6 3
Cartesian
0.0000 0.0000 0.0000
0.0000 1.6285 9.3877
1.4104 0.8143 4.6939
0.0000 0.0000 5.3045
0.0000 0.0000 8.7771
0.0000 1.6285 0.6107
0.0000 1.6285 4.0832
1.4104 0.8143 9.9984
1.4104 0.8143 13.4710
0.0000 0.0000 7.0408
0.0000 1.6285 2.3469
1.4104 0.8143 11.7347